Entry 1:
Computed, not measured: crystalline PIrW3 at its relaxed geometry at the PBE-GGA level of DFT.

Unit cell a=4.7581 b=4.7581 c=4.7581 alpha=90.00 beta=90.00 gamma=90.00
Fractional positions:
P (0.0000, 0.0000, 0.0000)
Ir (0.5000, 0.5000, 0.5000)
W (0.0000, 0.5000, 0.5000)
W (0.5000, 0.0000, 0.5000)
W (0.5000, 0.5000, 0.0000)



Entry 2:
Computed, not measured: crystalline P2IrW at its relaxed geometry at the PBE-GGA level of DFT.

Unit cell a=2.9458 b=2.9458 c=22.5515 alpha=90.00 beta=90.00 gamma=120.00
Fractional positions:
P (0.0000, 0.0000, 0.2491)
P (0.0000, 0.0000, 0.7509)
P (0.3333, 0.6667, 0.4175)
P (0.3333, 0.6667, 0.9158)
P (0.6667, 0.3333, 0.0842)
P (0.6667, 0.3333, 0.5825)
Ir (0.0000, 0.0000, 0.0000)
Ir (0.3333, 0.6667, 0.6667)
Ir (0.6667, 0.3333, 0.3333)
W (0.0000, 0.0000, 0.5000)
W (0.3333, 0.6667, 0.1667)
W (0.6667, 0.3333, 0.8333)



Entry 3:
Computed, not measured: crystalline P2IrW at its relaxed geometry at the PBE-GGA level of DFT.

Unit cell a=2.8989 b=2.8989 c=7.7681 alpha=90.00 beta=90.00 gamma=90.00
Fractional positions:
P (0.0000, 0.0000, 0.0000)
P (0.5000, 0.5000, 0.3701)
Ir (0.5000, 0.5000, 0.8173)
W (0.0000, 0.0000, 0.5522)



Entry 4:
Computed, not measured: crystalline PIr2W at its relaxed geometry at the PBE-GGA level of DFT.

Unit cell a=3.8582 b=2.8557 c=10.5231 alpha=90.00 beta=90.00 gamma=90.00
Fractional positions:
P (0.0000, 0.0000, 0.0000)
P (0.0000, 0.5000, 0.5000)
Ir (0.0000, 0.0000, 0.2263)
Ir (0.0000, 0.5000, 0.7263)
Ir (0.5000, 0.0000, 0.8739)
Ir (0.5000, 0.5000, 0.3739)
W (0.5000, 0.0000, 0.6061)
W (0.5000, 0.5000, 0.1061)



Entry 5:
Computed, not measured: crystalline P2IrW at its relaxed geometry at the PBE-GGA level of DFT.

Unit cell a=8.0904 b=3.2548 c=4.7466 alpha=90.00 beta=106.01 gamma=90.00
Fractional positions:
P (0.0000, 0.0000, 0.0000)
P (0.2382, 0.0000, 0.5710)
P (0.5000, 0.5000, 0.0000)
P (0.7382, 0.5000, 0.5710)
Ir (0.2517, 0.5000, 0.2088)
Ir (0.7517, 0.0000, 0.2088)
W (0.0276, 0.5000, 0.6167)
W (0.5276, 0.0000, 0.6167)



Entry 6:
Computed, not measured: crystalline PIr2W at its relaxed geometry at the PBE-GGA level of DFT.

Unit cell a=5.4725 b=5.4725 c=10.8605 alpha=90.00 beta=90.00 gamma=90.00
Fractional positions:
P (0.0000, 0.0000, 0.0000)
P (0.0000, 0.5000, 0.2500)
P (0.5000, 0.0000, 0.7500)
P (0.5000, 0.5000, 0.5000)
Ir (0.2207, 0.2500, 0.1250)
Ir (0.2500, 0.7207, 0.3750)
Ir (0.2500, 0.7793, 0.8750)
Ir (0.2793, 0.2500, 0.6250)
Ir (0.7207, 0.7500, 0.6250)
Ir (0.7500, 0.2207, 0.8750)
Ir (0.7500, 0.2793, 0.3750)
Ir (0.7793, 0.7500, 0.1250)
W (0.0000, 0.0000, 0.5000)
W (0.0000, 0.5000, 0.7500)
W (0.5000, 0.0000, 0.2500)
W (0.5000, 0.5000, 0.0000)



So what do the calculations give for Fermi-level density of states? Going down the list: 7.4 6.4 3.7 2.5 3.9 12.8 states/eV per cell.
So what do the calculations give for formation enthalpy at 0 K? Going down the list: 2.157 0.006 0.052 -0.186 -0.196 0.259 eV/atom.
So what do the calculations give for calculated density? Going down the list: 11.94 12.87 11.14 17.16 12.11 12.24 g cm⁻³.